Entry from Alexandria: a relaxed structure of Sm4TmAg (GGA-PBE).

## Properties
DFT formation energy: -0.07 eV/atom
total DFT energy (no corrections): -0.3261 Ry per atom
relative energy among the computed polymorphs: 0 meV/atom
Fermi-level density of states: 7.61 states/eV per cell

Cell: 3.614 3.614 14.037 Å, 90.00 90.00 90.00°
Fractional positions:
Sm1 0.500 0.500 0.824
Sm2 0.500 0.500 0.176
Sm3 0.000 0.000 0.640
Sm4 0.000 0.000 0.360
Tm1 0.000 0.000 0.000
Ag1 0.500 0.500 0.500